No. 1
First-principles (PBE) data for a relaxed structure of TbNd6Tl3, as listed in Alexandria.

Structure (CIF):
```
data_TbNd6Tl3
_chemical_formula_sum 'Tb4 Nd24 Tl12'
_cell_length_a 10.757
_cell_length_b 15.939
_cell_length_c 7.882
_cell_angle_alpha 90.00
_cell_angle_beta 90.00
_cell_angle_gamma 90.00
_symmetry_space_group_name_H-M 'C m c 21'
_symmetry_Int_Tables_number 36
loop_
_symmetry_equiv_pos_as_xyz
'x,y,z'
'-x,-y,z+1/2'
'-x,y,z'
'x,-y,z+1/2'
'x+1/2,y+1/2,z'
'-x+1/2,-y+1/2,z+1/2'
'-x+1/2,y+1/2,z'
'x+1/2,-y+1/2,z+1/2'
loop_
_atom_site_label
_atom_site_type_symbol
_atom_site_fract_x
_atom_site_fract_y
_atom_site_fract_z
Tb1 Tb 0.000 0.195 0.000
Nd1 Nd 0.000 0.044 0.298
Nd2 Nd 0.000 0.300 0.441
Nd3 Nd 0.230 0.312 0.795
Nd4 Nd 0.235 0.465 0.481
Tl1 Tl 0.000 0.448 0.764
Tl2 Tl 0.148 0.135 0.653
```

## Properties
The total energy comes out at -4.136 eV/atom. For the spin magnetization, the calculation gives 0.0 μB per formula unit. The formation energy is -0.10 eV per atom.



No. 2
First-principles (PBE) data for a relaxed structure of Tb5NdTl6, as listed in Alexandria.

Structure (CIF):
```
data_Tb5NdTl6
_chemical_formula_sum 'Tb10 Nd2 Tl12'
_cell_length_a 9.336
_cell_length_b 16.265
_cell_length_c 5.408
_cell_angle_alpha 90.00
_cell_angle_beta 125.25
_cell_angle_gamma 90.00
_symmetry_space_group_name_H-M 'C 1 2/m 1'
_symmetry_Int_Tables_number 12
loop_
_symmetry_equiv_pos_as_xyz
'x,y,z'
'-x,-y,-z'
'-x,y,-z'
'x,-y,z'
'x+1/2,y+1/2,z'
'-x+1/2,-y+1/2,-z'
'-x+1/2,y+1/2,-z'
'x+1/2,-y+1/2,z'
loop_
_atom_site_label
_atom_site_type_symbol
_atom_site_fract_x
_atom_site_fract_y
_atom_site_fract_z
Tb1 Tb 0.000 0.000 0.000
Tb2 Tb 0.000 0.167 0.500
Tb3 Tb 0.000 0.336 0.000
Nd1 Nd 0.000 0.500 0.500
Tl1 Tl 0.243 0.000 0.743
Tl2 Tl 0.247 0.169 0.246
```

## Properties
The total energy comes out at -3.869 eV/atom. As for the energy above the most stable polymorph in this dataset: 0 meV per atom. For the spin magnetization, the calculation gives 0.0 μB per formula unit. The formation energy is -0.36 eV per atom.



No. 3
First-principles (PBE) data for a relaxed structure of Tb3Nd2Tl4, as listed in Alexandria.

Structure (CIF):
```
data_Tb3Nd2Tl4
_chemical_formula_sum 'Tb6 Nd4 Tl8'
_cell_length_a 9.251
_cell_length_b 5.346
_cell_length_c 10.738
_cell_angle_alpha 90.00
_cell_angle_beta 90.07
_cell_angle_gamma 90.00
_symmetry_space_group_name_H-M 'C 1 2/m 1'
_symmetry_Int_Tables_number 12
loop_
_symmetry_equiv_pos_as_xyz
'x,y,z'
'-x,-y,-z'
'-x,y,-z'
'x,-y,z'
'x+1/2,y+1/2,z'
'-x+1/2,-y+1/2,-z'
'-x+1/2,y+1/2,-z'
'x+1/2,-y+1/2,z'
loop_
_atom_site_label
_atom_site_type_symbol
_atom_site_fract_x
_atom_site_fract_y
_atom_site_fract_z
Tb1 Tb 0.000 0.000 0.000
Tb2 Tb 0.167 0.500 0.425
Nd1 Nd 0.167 0.500 0.778
Tl1 Tl 0.000 0.000 0.350
Tl2 Tl 0.166 0.500 0.102
```

## Properties
The total energy comes out at -3.958 eV/atom. As for the energy above the most stable polymorph in this dataset: 0 meV per atom. For the spin magnetization, the calculation gives 0.0 μB per formula unit. The formation energy is -0.30 eV per atom.



No. 4
First-principles (PBE) data for a relaxed structure of Tb2NdTl9, as listed in Alexandria.

Structure (CIF):
```
data_Tb2NdTl9
_chemical_formula_sum 'Tb2 Nd1 Tl9'
_cell_length_a 4.795
_cell_length_b 4.795
_cell_length_c 14.382
_cell_angle_alpha 90.00
_cell_angle_beta 90.00
_cell_angle_gamma 90.00
_symmetry_space_group_name_H-M 'P 4/m m m'
_symmetry_Int_Tables_number 123
_symmetry_space_group_name_Hall '-P 4 2'
loop_
_atom_site_label
_atom_site_type_symbol
_atom_site_fract_x
_atom_site_fract_y
_atom_site_fract_z
Tb1 Tb 0.000 0.000 0.165
Nd1 Nd 0.000 0.000 0.500
Tl1 Tl 0.000 0.500 0.000
Tl2 Tl 0.000 0.500 0.330
Tl3 Tl 0.500 0.500 0.166
Tl4 Tl 0.500 0.500 0.500
```

## Properties
The total energy comes out at -3.217 eV/atom. For the spin magnetization, the calculation gives 0.0 μB per formula unit. The formation energy is -0.27 eV per atom.



No. 5
First-principles (PBE) data for a relaxed structure of TbNdTl4, as listed in Alexandria.

Structure (CIF):
```
data_TbNdTl4
_chemical_formula_sum 'Tb4 Nd4 Tl16'
_cell_length_a 8.822
_cell_length_b 8.822
_cell_length_c 8.822
_cell_angle_alpha 90.00
_cell_angle_beta 90.00
_cell_angle_gamma 90.00
_symmetry_space_group_name_H-M 'F -4 3 m'
_symmetry_Int_Tables_number 216
_symmetry_space_group_name_Hall 'F -4 2 3'
loop_
_atom_site_label
_atom_site_type_symbol
_atom_site_fract_x
_atom_site_fract_y
_atom_site_fract_z
Tb1 Tb 0.000 0.000 0.000
Nd1 Nd 0.250 0.250 0.750
Tl1 Tl 0.125 0.125 0.375
```

## Properties
The total energy comes out at -3.242 eV/atom. As for the energy above the most stable polymorph in this dataset: 0 meV per atom. For the spin magnetization, the calculation gives 0.0 μB per formula unit. The formation energy is -0.10 eV per atom.



No. 6
First-principles (PBE) data for a relaxed structure of TbNd3Tl4, as listed in Alexandria.

Structure (CIF):
```
data_TbNd3Tl4
_chemical_formula_sum 'Tb2 Nd6 Tl8'
_cell_length_a 3.726
_cell_length_b 7.355
_cell_length_c 18.565
_cell_angle_alpha 90.00
_cell_angle_beta 90.00
_cell_angle_gamma 90.00
_symmetry_space_group_name_H-M 'I m m m'
_symmetry_Int_Tables_number 71
_symmetry_space_group_name_Hall '-I 2 2'
loop_
_atom_site_label
_atom_site_type_symbol
_atom_site_fract_x
_atom_site_fract_y
_atom_site_fract_z
Tb1 Tb 0.000 0.000 0.000
Nd1 Nd 0.000 0.000 0.500
Nd2 Nd 0.000 0.500 0.284
Tl1 Tl 0.000 0.286 0.126
```

## Properties
The total energy comes out at -3.795 eV/atom. As for the energy above the most stable polymorph in this dataset: 141 meV per atom. For the spin magnetization, the calculation gives 0.3 μB per formula unit. The formation energy is -0.24 eV per atom.